VSnPbF2 | PBE with a Hubbard U | relaxed

D(E_F) = 2.96 states/eV per cell
Space-group type = P4/mmm
Magnetization = 1.126 μB/cell
Final energy = -4.690 eV/atom

Cell and atoms, written as extended XYZ:
```
5
Lattice="4.152 0.000 0.000 0.000 6.367 0.000 0.000 0.000 4.152" Properties=species:S:1:pos:R:3 pbc="T T T"
Pb 0.000 3.184 0.000
F 0.000 0.000 2.076
F 2.076 0.000 0.000
Sn 2.076 3.184 2.076
V 0.000 0.000 0.000
```


Sn2PbWF | PBE with a Hubbard U | relaxed

D(E_F) = 1.32 states/eV per cell
Space-group type = P4/mmm
Magnetization = 1.000 μB/cell
Final energy = -3.966 eV/atom

Cell and atoms, written as extended XYZ:
```
5
Lattice="5.299 0.000 0.000 0.000 5.448 0.000 0.000 0.000 5.299" Properties=species:S:1:pos:R:3 pbc="T T T"
Pb 0.000 2.724 0.000
Sn 0.000 0.000 2.650
Sn 2.650 0.000 0.000
W 0.000 0.000 0.000
F 2.650 2.724 2.650
```